VASP calculation (PBEsol) on a geometry-optimized PPbBr2 structure.

Cell lengths 3.5602, 3.5602, 9.2762 Å; angles 90.00, 90.00, 122.21 degrees
Last column: nearest neighbours and their distance in Å.
Atoms (fractional coordinates):
P1 0.0000 0.0000 0.0000  4 Br 2.59
Pb1 0.0000 0.0000 0.5000  4 Br 3.21, 6 Pb 3.44-3.56
Br1 0.5000 0.5000 0.2080  2 P 2.59
Br2 0.5000 0.5000 0.7920  2 P 2.59

Properties
raw formation energy	0.164	eV/atom
symmetry	Cmmm (65)



VASP calculation (PBEsol) on a geometry-optimized PPbBr2 structure.

Cell lengths 5.5616, 5.5616, 4.8970 Å; angles 113.14, 113.14, 107.61 degrees
Last column: nearest neighbours and their distance in Å.
Atoms (fractional coordinates):
P1 0.0000 0.0000 0.0000  4 Br 2.89
Pb1 0.5000 0.5000 0.0000  4 Br 2.89
Br1 0.0000 0.5000 0.5000  2 Pb 2.89, 2 P 2.89
Br2 0.5000 0.0000 0.5000  2 Pb 2.89, 2 P 2.89

Properties
raw formation energy	0.073	eV/atom
symmetry	C2/m (12)